Record 1
Sr2DyInTe5 GGA-PBE relaxed; E_tot = -4.17 eV/atom; formation energy without anion corrections = -1.2382 eV per atom
1.0
2.235 -10.029 0.000
2.235 10.029 0.000
0.000 0.000 13.982
Sr Dy In Te
4 2 2 10
direct
0.118 0.882 0.500 Sr
0.130 0.870 0.139 Sr
0.870 0.130 0.639 Sr
0.882 0.118 0.000 Sr
0.209 0.791 0.841 Dy
0.791 0.209 0.341 Dy
0.443 0.557 0.261 In
0.557 0.443 0.761 In
0.050 0.950 0.884 Te
0.289 0.711 0.491 Te
0.309 0.691 0.183 Te
0.359 0.641 0.823 Te
0.496 0.504 0.584 Te
0.504 0.496 0.084 Te
0.641 0.359 0.323 Te
0.691 0.309 0.683 Te
0.711 0.289 0.991 Te
0.950 0.050 0.384 Te



Record 2
HfSc2Ti3N6 GGA-PBE relaxed; E_tot = -9.82 eV/atom; DOS at the Fermi energy = 0.415 states/eV/atom; formation energy without anion corrections = -1.8035 eV per atom
1.0
2.685 -4.645 0.000
2.685 4.645 0.000
-1.794 0.000 5.067
Hf Sc Ti N
1 2 3 6
direct
0.000 0.000 0.000 Hf
0.333 0.667 0.000 Sc
0.667 0.333 0.000 Sc
0.170 0.830 0.500 Ti
0.500 0.500 0.500 Ti
0.830 0.170 0.500 Ti
0.087 0.419 0.260 N
0.244 0.244 0.739 N
0.419 0.087 0.260 N
0.581 0.913 0.740 N
0.756 0.756 0.261 N
0.913 0.581 0.740 N



Record 3
Tl3CuS8 GGA-PBE relaxed; E_tot = -3.74 eV/atom; DOS at the Fermi energy = 0.394 states/eV/atom; formation energy without anion corrections = -0.0577 eV per atom
1.0
5.193 -5.415 0.000
5.193 5.415 0.000
-5.173 0.000 6.212
Tl Cu S
3 1 8
direct
0.000 0.000 0.000 Tl
0.213 0.713 0.501 Tl
0.713 0.213 0.501 Tl
0.386 0.386 0.000 Cu
0.157 0.572 0.001 S
0.202 0.202 0.633 S
0.331 0.331 0.526 S
0.405 0.938 0.001 S
0.571 0.571 0.368 S
0.572 0.157 0.001 S
0.804 0.804 0.471 S
0.938 0.405 0.001 S



Record 4
CeNiSnH2 GGA-PBE relaxed; E_tot = -5.03 eV/atom; DOS at the Fermi energy = 0.891 states/eV/atom
1.0
4.369 0.000 0.000
-2.185 3.784 0.000
0.000 0.000 8.393
Ce Ni Sn H
2 2 2 4
direct
0.000 0.000 0.000 Ce
0.000 0.000 0.500 Ce
0.333 0.667 0.250 Ni
0.667 0.333 0.750 Ni
0.333 0.667 0.750 Sn
0.667 0.333 0.250 Sn
0.333 0.667 0.058 H
0.333 0.667 0.442 H
0.667 0.333 0.558 H
0.667 0.333 0.942 H



Record 5
Sr2VTeBr GGA-PBE relaxed; E_tot = -3.25 eV/atom; energy above the lowest structure with this stoichiometry = 0.5188 eV/atom; DOS at the Fermi energy = 2.801 states/eV/atom; formation energy without anion corrections = 0.2143 eV per atom
1.0
6.249 0.000 0.000
0.000 6.249 0.000
0.000 0.000 6.034
Sr V Te Br
2 1 1 1
direct
0.000 0.500 0.000 Sr
0.500 0.000 0.000 Sr
0.000 0.000 0.500 V
0.500 0.500 0.000 Te
0.500 0.500 0.500 Br



Record 6
BeNb2Cu2 GGA-PBE relaxed; E_tot = -5.85 eV/atom; energy above the lowest structure with this stoichiometry = 0.3735 eV/atom; DOS at the Fermi energy = 0.500 states/eV/atom; formation enthalpy at 0 K = 0.56 eV/atom
1.0
7.258 0.000 0.000
0.000 7.258 0.000
0.000 0.000 2.948
Be Nb Cu
2 4 4
direct
0.000 0.000 0.000 Be
0.500 0.500 0.000 Be
0.177 0.323 0.000 Nb
0.323 0.823 0.000 Nb
0.677 0.177 0.000 Nb
0.823 0.677 0.000 Nb
0.120 0.620 0.500 Cu
0.380 0.120 0.500 Cu
0.620 0.880 0.500 Cu
0.880 0.380 0.500 Cu



Record 7
La11Rh4Pb9 GGA-PBE relaxed; E_tot = -5.55 eV/atom; DOS at the Fermi energy = 0.595 states/eV/atom; formation enthalpy at 0 K = -0.67 eV/atom
1.0
7.438 -11.146 0.000
7.438 11.146 0.000
0.000 0.000 4.155
La Rh Pb
11 4 9
direct
0.000 0.000 0.000 La
0.082 0.416 0.000 La
0.163 0.837 0.000 La
0.310 0.310 0.000 La
0.374 0.626 0.000 La
0.416 0.082 0.000 La
0.584 0.918 0.000 La
0.626 0.374 0.000 La
0.690 0.690 0.000 La
0.837 0.163 0.000 La
0.918 0.584 0.000 La
0.242 0.447 0.500 Rh
0.447 0.242 0.500 Rh
0.553 0.758 0.500 Rh
0.758 0.553 0.500 Rh
0.072 0.218 0.500 Pb
0.156 0.629 0.500 Pb
0.218 0.072 0.500 Pb
0.371 0.844 0.500 Pb
0.500 0.500 0.500 Pb
0.629 0.156 0.500 Pb
0.782 0.928 0.500 Pb
0.844 0.371 0.500 Pb
0.928 0.782 0.500 Pb



Record 8
Ba4Pd2Pt GGA-PBE relaxed; E_tot = -3.82 eV/atom; energy above the lowest structure with this stoichiometry = 0.1647 eV/atom; DOS at the Fermi energy = 0.599 states/eV/atom; formation enthalpy at 0 K = -0.38 eV/atom
1.0
-3.114 3.114 7.475
3.114 -3.114 7.475
3.114 3.114 -7.475
Ba Pd Pt
4 2 1
direct
0.000 0.500 0.500 Ba
0.207 0.207 0.000 Ba
0.500 0.000 0.500 Ba
0.793 0.793 0.000 Ba
0.409 0.409 0.000 Pd
0.591 0.591 0.000 Pd
0.000 0.000 0.000 Pt



Record 9
LiCd3Tc GGA-PBE relaxed; E_tot = -2.21 eV/atom; energy above the lowest structure with this stoichiometry = 0.1598 eV/atom; DOS at the Fermi energy = 0.567 states/eV/atom; formation enthalpy at 0 K = 0.80 eV/atom
1.0
4.581 0.000 0.000
0.000 4.581 0.000
0.000 0.000 4.581
Li Cd Tc
1 3 1
direct
0.000 0.000 0.000 Li
0.000 0.000 0.500 Cd
0.000 0.500 0.000 Cd
0.500 0.000 0.000 Cd
0.500 0.500 0.500 Tc



Record 10
LiMnHg2 GGA-PBE relaxed; E_tot = -2.83 eV/atom; DOS at the Fermi energy = 0.490 states/eV/atom; formation enthalpy at 0 K = 0.09 eV/atom
1.0
1.573 0.908 9.053
-1.573 0.908 9.053
0.000 -1.816 9.053
Li Mn Hg
1 1 2
direct
0.000 0.000 0.000 Li
0.500 0.500 0.500 Mn
0.250 0.250 0.250 Hg
0.750 0.750 0.750 Hg



Which M_tot belongs to each record? In order, 0.000 0.000 0.000 0.688 4.611 0.000 0.000 0.000 1.915 3.797 μB per cell.
Which ρ belongs to each record? In order, 5.8 6.5 4.4 7.6 3.1 6.9 9.2 5.5 7.6 9.9 g/cm3.